# AsI

Crystalline AsI at its relaxed geometry (PBE, the Alexandria database).

For the formation energy (no corrections), the calculation gives 245 meV/atom. The value obtained for the density is 3.1 g/cm3. The calculation puts the density of states at the Fermi level at 0.266 states/eV per atom. Its magnetization is 0.00 μB per formula unit.

The space group is Pmn2_1 (No. 31) and the conventional cell measures 20.137, 6.870 and 4.621 Å, with angles of 90.00, 90.00 and 90.00 degrees. The inequivalent atoms are As at (0.000, 0.052, 0.000), As at (0.242, 0.478, 0.700), I at (0.000, 0.678, 0.040) and I at (0.101, 0.123, 0.651).



# LaY

Crystalline LaY at its relaxed geometry (PBE, the Alexandria database).

The value obtained for the density is 5.5 g/cm3. The calculation puts the density of states at the Fermi level at 1.717 states/eV per atom. For the formation energy, the calculation gives 0.0216 eV per atom. Its energy above the lowest structure with this stoichiometry is 0.0174 eV per atom. Its magnetization is 0.00 μB per formula unit.

The space group is R-3m (No. 166, hexagonal axes) and the conventional cell measures 3.6543, 3.6543 and 35.8766 Å, with angles of 90.00, 90.00 and 120.00 degrees. The inequivalent atoms are La at (0.0000, 0.0000, 0.1239) and Y at (0.0000, 0.0000, 0.3731).



# La3Nb2P2N4

Crystalline La3Nb2P2N4 at its relaxed geometry (PBE, the Alexandria database).

For the formation energy (no corrections), the calculation gives -1258 meV/atom. The value obtained for the density is 6.2 g/cm3. The calculation puts the density of states at the Fermi level at 0.283 states/eV per atom. Its magnetization is 0.00 μB per formula unit.

The space group is I4/mmm (No. 139) and the conventional cell measures 4.171, 4.171 and 22.141 Å, with angles of 90.00, 90.00 and 90.00 degrees. The inequivalent atoms are La at (0.000, 0.000, 0.000), La at (0.000, 0.000, 0.165), Nb at (0.000, 0.000, 0.412), P at (0.000, 0.000, 0.302) and N at (0.000, 0.500, 0.076).